{"formula": "TcTeSe2", "functional": "PBE-GGA", "state": "optimized geometry", "raw_formation_energy_ev_per_atom": 0.414, "lattice": [[1.6171, -2.5226, 0.0000], [1.6171, 2.5226, 0.0000], [0.0000, 0.0000, 10.7732]], "species": ["Tc", "Te", "Se", "Se"], "frac_coords": [[0.0000, 0.0000, 0.0000], [0.5000, 0.5000, 0.2135], [0.0000, 0.0000, 0.5096], [0.5000, 0.5000, 0.8236]]}

---

{"formula": "LiTeCl2", "functional": "PBE-GGA", "state": "optimized geometry", "raw_formation_energy_ev_per_atom": -0.298, "polymorph_energy_ev_per_atom": 0.650, "lattice": [[0.0000, 3.6990, 3.6990], [3.6990, 0.0000, 3.6990], [3.6990, 3.6990, 0.0000]], "species": ["Li", "Te", "Cl", "Cl"], "frac_coords": [[0.0000, 0.0000, 0.0000], [0.5000, 0.5000, 0.5000], [0.2500, 0.2500, 0.2500], [0.7500, 0.7500, 0.7500]]}

---

The evaluated raw total energy for the records listed, in turn: -4.70 -2.49 eV/atom.